Entry from the Alexandria database: NpPa2S3 after structural relaxation (PBE).

a b c (Å): 6.754 6.754 6.754
angles (deg): 146.60 131.76 59.94
Element x y z (fractional)
Np  0.000  0.000  0.000
Pa  0.333  0.333  0.000
Pa  0.667  0.667  0.000
S  0.164  0.664  0.500
S  0.500  0.000  0.500
S  0.836  0.336  0.500

=====

Entry from the Alexandria database: Eu2NCl after structural relaxation (PBE).

a b c (Å): 3.279 3.279 7.239
angles (deg): 90.00 90.00 90.00
Element x y z (fractional)
Eu  0.000  0.000  0.195
Eu  0.000  0.000  0.805
N  0.500  0.500  0.000
Cl  0.500  0.500  0.500

=====

Number 1: total energy -8.92 eV per atom, total magnetic moment 4.9 μB/cell, formation energy (no corrections) -9.2 eV per formula unit. Number 2: total energy -8.77 eV per atom, total magnetic moment 14.0 μB/cell, formation energy (no corrections) -4.4 eV per formula unit.